## i
DFT (GGA-PBE) results for a relaxed structure of CdHSe2Br.

Values from the calculation:
**Total magnetization**: 0.00 μB per formula unit

Cell: 4.0275 4.0275 6.9478 Å, 90.00 90.00 90.00°
Last column: nearest neighbours and their distance in Å.
Space group P4/mmm (No. 123)
Asymmetric unit:
Cd 0.0000 0.0000 0.0000  4 Br 2.85
H 0.5000 0.5000 0.5000  4 Se 2.01
Se 0.0000 0.5000 0.5000  2 H 2.01
Br 0.5000 0.5000 0.0000  4 Cd 2.85



## ii
DFT (GGA-PBE) results for a relaxed structure of CdHSe2Br.

Values from the calculation:
**Total magnetization**: 3.95 μB per formula unit

Cell: 5.4368 5.4368 5.6236 Å, 90.00 90.00 90.00°
Last column: nearest neighbours and their distance in Å.
Space group P4/mmm (No. 123)
Asymmetric unit:
Cd 0.0000 0.0000 0.0000  4 Se 2.72, 2 Br 2.81
H 0.5000 0.5000 0.5000  4 Br 3.84, 8 Se 3.91
Se 0.0000 0.5000 0.0000  2 Cd 2.72
Br 0.0000 0.0000 0.5000  2 Cd 2.81



Sorted by energy, starting with the most stable: i, ii.



## i
DFT (GGA-PBE) results for a relaxed structure of HfCdBr2.

Values from the calculation:
**Total magnetization**: 1.33 μB per formula unit

Cell: 7.1787 7.1787 7.1787 Å, 90.00 90.00 90.00°
Last column: nearest neighbours and their distance in Å.
Space group Fm-3m (No. 225)
Asymmetric unit:
Hf 0.0000 0.0000 0.0000  8 Br 3.11
Cd 0.0000 0.0000 0.5000  8 Br 3.11
Br 0.2500 0.2500 0.2500  4 Cd 3.11, 4 Hf 3.11



## ii
DFT (GGA-PBE) results for a relaxed structure of HfCdBr2.

Values from the calculation:
**Total magnetization**: 0.00 μB per formula unit

Cell: 3.3867 3.3867 33.7998 Å, 90.00 90.00 120.00°
Last column: nearest neighbours and their distance in Å.
Space group R-3m (No. 166, hexagonal axes)
Asymmetric unit:
Hf 0.0000 0.0000 0.0000  6 Br 2.76
Cd 0.0000 0.0000 0.5000  6 Cd 3.39, 2 Br 3.69
Br 0.0000 0.0000 0.3909  3 Hf 2.76



Sorted by energy, starting with the most stable: ii, i.



## i
DFT (GGA-PBE) results for a relaxed structure of HfCdBr2.

Values from the calculation:
**Total magnetization**: 0.91 μB per formula unit

Cell: 9.3990 9.3990 6.0272 Å, 90.00 90.00 90.00°
Last column: nearest neighbours and their distance in Å.
Space group I-42d (No. 122)
Asymmetric unit:
Hf 0.0000 0.0000 0.0000  4 Br 2.67
Cd 0.0000 0.0000 0.5000  2 Hf 3.01
Br 0.1097 0.2500 0.1250  2 Hf 2.67



## ii
DFT (GGA-PBE) results for a relaxed structure of HfCdBr2.

Values from the calculation:
**Total magnetization**: 0.00 μB per formula unit

Cell: 3.5746 3.5746 34.3163 Å, 90.00 90.00 120.00°
Last column: nearest neighbours and their distance in Å.
Space group R-3m (No. 166, hexagonal axes)
Asymmetric unit:
Hf 0.0000 0.0000 0.0000  2 Br 2.48
Cd 0.0000 0.0000 0.5000  6 Cd 3.57, 6 Br 3.84
Br 0.0000 0.0000 0.0722  1 Hf 2.48



Sorted by energy, starting with the most stable: ii, i.



## i
DFT (GGA-PBE) results for a relaxed structure of Hf2VCdBr.

Values from the calculation:
**Total magnetization**: 0.00 μB per formula unit

Cell: 4.8503 4.8503 5.3383 Å, 90.00 90.00 90.00°
Last column: nearest neighbours and their distance in Å.
Space group P4/mmm (No. 123)
Asymmetric unit:
Hf 0.0000 0.5000 0.0000  2 V 2.43
V 0.0000 0.0000 0.0000  4 Hf 2.43, 2 Cd 2.67
Cd 0.0000 0.0000 0.5000  2 V 2.67
Br 0.5000 0.5000 0.5000  4 Cd 3.43, 8 Hf 3.61



## ii
DFT (GGA-PBE) results for a relaxed structure of Hf2VCdBr.

Values from the calculation:
**Total magnetization**: 3.53 μB per formula unit

Cell: 5.2743 5.2743 5.0616 Å, 90.00 90.00 90.00°
Last column: nearest neighbours and their distance in Å.
Space group P4/mmm (No. 123)
Asymmetric unit:
Hf 0.0000 0.5000 0.0000  2 Cd 2.64
V 0.0000 0.0000 0.5000  2 Cd 2.53
Cd 0.0000 0.0000 0.0000  2 V 2.53, 4 Hf 2.64
Br 0.5000 0.5000 0.5000  8 Hf 3.66, 4 V 3.73



Sorted by energy, starting with the most stable: i, ii.



## i
DFT (GGA-PBE) results for a relaxed structure of Cd2Hg2Br.

Values from the calculation:
**Total magnetization**: 0.00 μB per formula unit

Cell: 8.4112 8.4112 3.7300 Å, 90.00 90.00 90.00°
Last column: nearest neighbours and their distance in Å.
Space group P4/mbm (No. 127)
Asymmetric unit:
Cd 0.1440 0.3560 0.0000  6 Hg 3.00-3.16, 2 Br 3.23
Hg 0.1584 0.6584 0.5000  6 Cd 3.00-3.16
Br 0.0000 0.0000 0.0000  4 Cd 3.23



## ii
DFT (GGA-PBE) results for a relaxed structure of Cd2Hg2Br.

Values from the calculation:
**Total magnetization**: 0.00 μB per formula unit

Cell: 8.5207 8.5207 3.6745 Å, 90.00 90.00 90.00°
Last column: nearest neighbours and their distance in Å.
Space group P4/mbm (No. 127)
Asymmetric unit:
Cd 0.1810 0.3190 0.0000  6 Hg 2.97-3.23
Hg 0.1257 0.6257 0.5000  6 Cd 2.97-3.23, 1 Hg 3.03
Br 0.0000 0.0000 0.5000  4 Hg 3.36, 8 Cd 3.63, 2 Br 3.67



Sorted by energy, starting with the most stable: i, ii.



## i
DFT (GGA-PBE) results for a relaxed structure of Cd2HgBr2.

Values from the calculation:
**Total magnetization**: 0.00 μB per formula unit

Cell: 5.2055 5.2055 11.2734 Å, 90.00 90.00 90.00°
Last column: nearest neighbours and their distance in Å.
Space group I4/mmm (No. 139)
Asymmetric unit:
Cd 0.0000 0.0000 0.1204  1 Cd 2.72, 4 Br 2.98
Hg 0.0000 0.0000 0.5000  8 Br 3.84, 10 Cd 3.92-4.28
Br 0.0000 0.5000 0.2500  4 Cd 2.98



## ii
DFT (GGA-PBE) results for a relaxed structure of Cd2HgBr2.

Values from the calculation:
**Total magnetization**: 0.00 μB per formula unit

Cell: 4.2901 4.2901 18.2373 Å, 90.00 90.00 90.00°
Last column: nearest neighbours and their distance in Å.
Space group I4/mmm (No. 139)
Asymmetric unit:
Cd 0.0000 0.5000 0.2500  4 Cd 3.03, 4 Br 3.08
Hg 0.0000 0.0000 0.0000  8 Br 3.84, 4 Hg 4.29
Br 0.0000 0.0000 0.3709  4 Cd 3.08



Sorted by energy, starting with the most stable: i, ii.



## i
DFT (GGA-PBE) results for a relaxed structure of Cd2IBr2.

Values from the calculation:
**Total magnetization**: 0.00 μB per formula unit

Cell: 7.9545 7.9545 16.4643 Å, 90.00 90.00 90.00°
Last column: nearest neighbours and their distance in Å.
Space group I4_1md (No. 109)
Asymmetric unit:
Cd 0.0000 0.1878 0.0000  3 Br 2.72-2.90, 1 I 2.86, 1 Cd 2.99
I 0.0000 0.0000 0.6642  2 Cd 2.86
Br 0.0000 0.2453 0.1629  3 Cd 2.72-2.90



## ii
DFT (GGA-PBE) results for a relaxed structure of Cd2IBr2.

Values from the calculation:
**Total magnetization**: 0.00 μB per formula unit

Cell: 8.4831 8.4831 4.2892 Å, 90.00 90.00 90.00°
Last column: nearest neighbours and their distance in Å.
Space group P4/mbm (No. 127)
Asymmetric unit:
Cd 0.1988 0.3012 0.0000  2 Br 2.86, 2 I 3.06
I 0.0000 0.0000 0.0000  4 Cd 3.06
Br 0.1437 0.6437 0.5000  2 Cd 2.86



Sorted by energy, starting with the most stable: i, ii.



## i
DFT (GGA-PBE) results for a relaxed structure of Cd2IBr3.

Values from the calculation:
**Total magnetization**: 0.00 μB per formula unit

Cell: 26.6360 4.3426 8.3965 Å, 90.00 93.65 90.00°
Last column: nearest neighbours and their distance in Å.
Space group C2/m (No. 12)
Asymmetric unit:
Cd 0.0672 0.0000 0.0183  2 Br 2.65, 2 I 2.86
Cd 0.1859 0.5000 0.3936  3 Br 2.49-2.73
I 0.1369 0.5000 0.0253  2 Cd 2.86
Br 0.0014 0.0000 0.7673  2 Cd 2.65
Br 0.1054 0.5000 0.5276  1 Cd 2.49
Br 0.2400 0.0000 0.3077  2 Cd 2.73



## ii
DFT (GGA-PBE) results for a relaxed structure of Cd2IBr3.

Values from the calculation:
**Total magnetization**: 0.00 μB per formula unit

Cell: 18.0368 4.1464 14.2371 Å, 90.00 127.86 90.00°
Last column: nearest neighbours and their distance in Å.
Space group C2/m (No. 12)
Asymmetric unit:
Cd 0.2476 0.0000 0.1226  5 Br 2.79-2.86, 1 I 2.97
Cd 0.2481 0.5000 0.3739  4 Br 2.82-2.86, 2 I 3.00
I 0.1216 0.0000 0.1912  3 Cd 2.97-3.00
Br 0.1404 0.5000 0.9514  3 Cd 2.79-2.86
Br 0.1424 0.5000 0.4626  3 Cd 2.82-2.86
Br 0.1441 0.0000 0.7093  3 Cd 2.83-2.85



Sorted by energy, starting with the most stable: ii, i.



## i
DFT (GGA-PBE) results for a relaxed structure of Cd3IBr.

Values from the calculation:
**Total magnetization**: 0.00 μB per formula unit

Cell: 6.0960 6.0960 6.0960 Å, 90.00 90.00 90.00°
Last column: nearest neighbours and their distance in Å.
Space group Pm-3m (No. 221)
Asymmetric unit:
Cd 0.0000 0.0000 0.5000  2 I 3.05
I 0.0000 0.0000 0.0000  6 Cd 3.05
Br 0.5000 0.5000 0.5000  12 Cd 4.31



## ii
DFT (GGA-PBE) results for a relaxed structure of Cd3IBr.

Values from the calculation:
**Total magnetization**: 0.00 μB per formula unit

Cell: 5.8274 5.8274 5.8274 Å, 90.00 90.00 90.00°
Last column: nearest neighbours and their distance in Å.
Space group Pm-3m (No. 221)
Asymmetric unit:
Cd 0.0000 0.0000 0.5000  2 Br 2.91
I 0.5000 0.5000 0.5000  12 Cd 4.12
Br 0.0000 0.0000 0.0000  6 Cd 2.91



Sorted by energy, starting with the most stable: ii, i.



## i
DFT (GGA-PBE) results for a relaxed structure of CdInIBr2.

Values from the calculation:
**Total magnetization**: 0.00 μB per formula unit

Cell: 8.0581 6.0754 8.7369 Å, 90.00 97.16 90.00°
Last column: nearest neighbours and their distance in Å.
Space group P2_1/m (No. 11)
Asymmetric unit:
Cd 0.0915 0.2500 0.1605  2 Br 2.64, 1 I 2.75
In 0.2678 0.2500 0.6274  4 Br 3.33-3.51, 1 I 3.50
I 0.4261 0.2500 0.2720  1 Cd 2.75
Br 0.0486 0.7500 0.1297  1 Cd 2.64
Br 0.0973 0.7500 0.6132  1 Cd 2.64



## ii
DFT (GGA-PBE) results for a relaxed structure of CdInIBr2.

Values from the calculation:
**Total magnetization**: 0.00 μB per formula unit

Cell: 5.4986 5.4986 5.9774 Å, 90.00 90.00 90.00°
Last column: nearest neighbours and their distance in Å.
Space group P4/mmm (No. 123)
Asymmetric unit:
Cd 0.0000 0.0000 0.0000  4 Br 2.75, 2 I 2.99
In 0.5000 0.5000 0.5000  4 I 3.89, 8 Br 4.06
I 0.0000 0.0000 0.5000  2 Cd 2.99
Br 0.0000 0.5000 0.0000  2 Cd 2.75



Sorted by energy, starting with the most stable: i, ii.



## i
DFT (GGA-PBE) results for a relaxed structure of KCdIBr2.

Values from the calculation:
**Total magnetization**: 0.00 μB per formula unit

Cell: 8.1148 6.0509 9.1008 Å, 90.00 100.13 90.00°
Last column: nearest neighbours and their distance in Å.
Space group P2_1/m (No. 11)
Asymmetric unit:
K 0.2269 0.2500 0.3618  4 Br 3.34-3.55, 1 I 3.69
Cd 0.4093 0.2500 0.8396  2 Br 2.62-2.65, 1 I 2.76
I 0.0727 0.2500 0.7198  1 Cd 2.76
Br 0.4032 0.7500 0.3673  1 Cd 2.62
Br 0.4649 0.7500 0.8712  1 Cd 2.65



## ii
DFT (GGA-PBE) results for a relaxed structure of KCdIBr2.

Values from the calculation:
**Total magnetization**: 0.00 μB per formula unit

Cell: 5.5585 5.5585 5.9804 Å, 90.00 90.00 90.00°
Last column: nearest neighbours and their distance in Å.
Space group P4/mmm (No. 123)
Asymmetric unit:
K 0.0000 0.0000 0.0000  4 I 3.93, 8 Br 4.08
Cd 0.5000 0.5000 0.5000  4 Br 2.78, 2 I 2.99
I 0.5000 0.5000 0.0000  2 Cd 2.99
Br 0.0000 0.5000 0.5000  2 Cd 2.78



Sorted by energy, starting with the most stable: i, ii.



## i
DFT (GGA-PBE) results for a relaxed structure of CdI2BrN.

Values from the calculation:
**Total magnetization**: 0.00 μB per formula unit

Cell: 7.6888 7.6888 3.5636 Å, 90.00 90.00 90.00°
Last column: nearest neighbours and their distance in Å.
Space group P4/mmm (No. 123)
Asymmetric unit:
Cd 0.0000 0.0000 0.0000  2 Cd 3.56
I 0.0000 0.5000 0.5000  2 I 3.56, 2 Br 3.84
Br 0.5000 0.5000 0.5000  2 N 1.78
N 0.5000 0.5000 0.0000  2 Br 1.78



## ii
DFT (GGA-PBE) results for a relaxed structure of CdI2BrN.

Values from the calculation:
**Total magnetization**: 3.97 μB per formula unit

Cell: 6.1223 6.1223 4.3354 Å, 90.00 90.00 90.00°
Last column: nearest neighbours and their distance in Å.
Space group P4/mmm (No. 123)
Asymmetric unit:
Cd 0.0000 0.0000 0.0000  2 N 2.17
I 0.0000 0.5000 0.0000  2 Cd 3.06
Br 0.5000 0.5000 0.5000  8 I 3.75
N 0.0000 0.0000 0.5000  2 Cd 2.17



Sorted by energy, starting with the most stable: ii, i.